Here is ZnTe2ICl after structural relaxation from Alexandria. Energies are from PBE.

The structure in POSCAR format:
```
ZnTe2ICl
1.0
5.3518 0.0000 0.0000
0.0000 5.3518 0.0000
0.0000 0.0000 5.4341
Zn Te I Cl
1 2 1 1
Direct
0.0000 0.0000 0.0000
0.0000 0.5000 0.0000
0.5000 0.0000 0.0000
0.0000 0.0000 0.5000
0.5000 0.5000 0.5000
```

Calculated values
The electronic total energy comes out at -1.881 eV/atom. The calculation puts the total moment at 0.0 μB/cell. The value obtained for the formation energy from raw total energies is 0.310 eV/atom. For the energy above the lowest structure with this stoichiometry, the calculation gives 0.00 kJ/mol of atoms.



Here is ZnTe2ICl after structural relaxation from Alexandria. Energies are from PBE.

The structure in POSCAR format:
```
ZnTe2ICl
1.0
5.5072 0.0000 0.0000
0.0000 5.5072 0.0000
0.0000 0.0000 5.6540
Zn Te I Cl
1 2 1 1
Direct
0.0000 0.0000 0.0000
0.0000 0.5000 0.5000
0.5000 0.0000 0.5000
0.5000 0.5000 0.0000
0.5000 0.5000 0.5000
```

Calculated values
The electronic total energy comes out at -1.476 eV/atom. The calculation puts the total moment at 0.0 μB/cell. The value obtained for the formation energy from raw total energies is 0.715 eV/atom. For the energy above the lowest structure with this stoichiometry, the calculation gives 39.04 kJ/mol of atoms.